{"formula": "Sc2TaRu", "functional": "meta-GGA SCAN", "state": "PBEsol geometry", "space_group": "F-43m (216)", "dft_energy_ev_per_atom": -32.575, "e_form_ev_per_atom": -0.104, "lattice_angstrom": [[4.6131, 0.0000, 0.0000], [2.3065, 3.9950, 0.0000], [2.3065, 1.3317, 3.7665]], "species": ["Ru", "Sc", "Sc", "Ta"], "fractional_positions": [[0.7500, 0.7500, 0.7500], [0.0000, 0.0000, 0.0000], [0.2500, 0.2500, 0.2500], [0.5000, 0.5000, 0.5000]]}